1.
# PrDy3Y2Ho6 | the Alexandria database | PBE | optimized geometry
# * E_form: 0.02 eV/atom
# * size of the total moment: 0.000 μB per atom
data_PrDy3Y2Ho6
_cell_length_a 6.152
_cell_length_b 10.647
_cell_length_c 11.779
_cell_angle_alpha 90.00
_cell_angle_beta 99.98
_cell_angle_gamma 90.00
_space_group_name_H-M_alt 'C 1 2/m 1'
_space_group_IT_number 12
loop_
_space_group_symop_operation_xyz
'x,y,z'
'-x,-y,-z'
'-x,y,-z'
'x,-y,z'
'x+1/2,y+1/2,z'
'-x+1/2,-y+1/2,-z'
'-x+1/2,y+1/2,-z'
'x+1/2,-y+1/2,z'
loop_
_atom_site_label
_atom_site_type_symbol
_atom_site_fract_x
_atom_site_fract_y
_atom_site_fract_z
_atom_site_occupancy
Pr1 Pr 0.000 0.000 0.000 1
Dy1 Dy 0.000 0.167 0.500 1
Dy2 Dy 0.000 0.500 0.500 1
Y1 Y 0.000 0.333 0.000 1
Ho1 Ho 0.249 0.000 0.748 1
Ho2 Ho 0.249 0.333 0.748 1



2.
# YTm3Tl4Te8 | the Alexandria database | PBE | optimized geometry
# * size of the total moment: 0.000 μB per atom
# * uncorrected formation energy: -1.038 eV/atom
data_YTm3Tl4Te8
_cell_length_a 8.8427
_cell_length_b 8.8427
_cell_length_c 24.5606
_cell_angle_alpha 90.00
_cell_angle_beta 90.00
_cell_angle_gamma 120.00
_space_group_name_H-M_alt 'R -3 m'
_space_group_IT_number 166
_space_group_name_Hall '-R 3 2"'
loop_
_atom_site_label
_atom_site_type_symbol
_atom_site_fract_x
_atom_site_fract_y
_atom_site_fract_z
_atom_site_occupancy
Y1 Y 0.0000 0.0000 0.0000 1
Tm1 Tm 0.0000 0.5000 0.0000 1
Tl1 Tl 0.0000 0.0000 0.5000 1
Tl2 Tl 0.0000 0.5000 0.5000 1
Te1 Te 0.0000 0.0000 0.2634 1
Te2 Te 0.0029 0.5014 0.2628 1